Below is a PBEsol-optimized structure of Be3Mo, with properties calculated at the meta-GGA SCAN level.

abc: 5.0032 5.0032 3.5564
angles: 90.00 90.00 120.00
Space group P6_3/mmc (No. 194)
Symmetry-distinct sites (fractional):
Be  0.1458  0.2916  0.2500 x6
Mo  0.3333  0.6667  0.7500 x2

Calculated values
DFT formation energy: -81 meV per atom
Mass density: 5.30 Mg/m³
ΔE to the lowest computed polymorph: 0.153 eV/atom

Below is a PBEsol-optimized structure of VOF, with properties calculated at the meta-GGA SCAN level.

abc: 2.975 4.641 13.972
angles: 90.00 90.00 90.00
Space group Pmn2_1 (No. 31)
Symmetry-distinct sites (fractional):
V  0.000  0.166  0.000 x2
V  0.000  0.269  0.332 x2
V  0.000  0.276  0.667 x2
O  0.000  0.540  0.231 x2
O  0.000  0.923  0.101 x2
O  0.000  0.986  0.434 x2
F  0.000  0.516  0.900 x2
F  0.000  0.578  0.562 x2
F  0.000  0.954  0.767 x2

Calculated values
Mass density: 4.44 Mg/m³
Energy relative to the elements, uncorrected: -2.91 eV per atom

Below is a PBEsol-optimized structure of ZrTlPO2, with properties calculated at the meta-GGA SCAN level.

abc: 4.028 4.028 5.532
angles: 90.00 90.00 90.00
Space group P4/mmm (No. 123)
Symmetry-distinct sites (fractional):
Zr  0.000  0.000  0.000 x1
Tl  0.500  0.500  0.500 x1
P  0.000  0.000  0.500 x1
O  0.000  0.500  0.000 x2

Calculated values
Mass density: 6.63 Mg/m³
Energy relative to the elements, uncorrected: -1.62 eV per atom